No. 1
DFT (PBE-GGA) results for a relaxed PrLuMgGa crystal.

Cell: 5.221 5.221 5.221 Å, 60.00 60.00 60.00°
Fractional positions:
Ga  0.250  0.250  0.250
Mg  0.750  0.750  0.750
Pr  0.500  0.500  0.500
Lu  0.000  0.000  0.000

Properties
As for the formation energy: -311.4 meV per atom. The total magnetic moment comes out at 0.00 Bohr magnetons per cell.

---

No. 2
DFT (PBE-GGA) results for a relaxed AlSiTe2 crystal.

Cell: 5.385 5.385 5.385 Å, 134.28 108.51 89.10°
Fractional positions:
Al  0.750  0.250  0.500
Si  0.250  0.750  0.500
Te  0.498  0.498  0.000
Te  0.002  0.002  0.000

Properties
The total magnetic moment comes out at 0.00 Bohr magnetons per cell. The calculation puts the distance to the lowest polymorph of the same formula at 403 meV per atom. As for the formation energy (no corrections): 0.3379 eV/atom.

---

No. 3
DFT (PBE-GGA) results for a relaxed Nb3W crystal.

Cell: 2.668 4.857 5.557 Å, 90.00 90.00 90.00°
Fractional positions:
Nb  0.500  0.000  0.530
W  0.000  0.000  0.030
Nb  0.000  0.500  0.300
Nb  0.500  0.500  0.806

Properties
As for the formation energy: 250.2 meV per atom. The total magnetic moment comes out at 0.00 Bohr magnetons per cell.

---

No. 4
DFT (PBE-GGA) results for a relaxed Pa2P4Ru3Pt crystal.

Cell: 4.146 4.146 9.470 Å, 90.00 90.00 90.00°
Fractional positions:
Pt  0.500  0.500  0.500
P  0.000  0.000  0.000
P  0.500  0.500  0.000
Ru  0.500  0.000  0.886
Ru  0.000  0.500  0.114
Pa  0.500  0.000  0.238
P  0.000  0.500  0.357
Ru  0.000  0.000  0.500
P  0.500  0.000  0.643
Pa  0.000  0.500  0.762

Properties
As for the formation energy: -910.3 meV per atom. The total magnetic moment comes out at 0.00 Bohr magnetons per cell.

---

No. 5
DFT (PBE-GGA) results for a relaxed PmZnIr crystal.

Cell: 6.878 6.878 7.896 Å, 112.52 112.52 96.93°
Fractional positions:
Ir  0.269  0.269  0.000
Zn  0.125  0.375  0.250
Zn  0.125  0.875  0.750
Ir  0.519  0.019  0.500
Pm  0.346  0.346  0.693
Pm  0.596  0.096  0.193
Zn  0.625  0.875  0.750
Ir  0.981  0.481  0.500
Pm  0.904  0.404  0.807
Zn  0.125  0.875  0.250
Pm  0.654  0.654  0.307
Ir  0.731  0.731  0.000

Properties
As for the formation energy: -231.1 meV per atom. The total magnetic moment comes out at 0.00 Bohr magnetons per cell. The calculation puts the distance to the lowest polymorph of the same formula at 379 meV per atom.

---

No. 6
DFT (PBE-GGA) results for a relaxed PrNdGd2 crystal.

Cell: 5.784 5.784 5.784 Å, 60.00 60.00 60.00°
Each line ends with the local moment (μB).
Fractional positions:
Gd  0.250  0.250  0.250  7.33
Pr  0.000  0.000  0.000  0.20
Nd  0.500  0.500  0.500  0.19
Gd  0.750  0.750  0.750  7.33

Properties
As for the formation energy: 89.7 meV per atom. The total magnetic moment comes out at 16.15 Bohr magnetons per cell. The calculation puts the distance to the lowest polymorph of the same formula at 75 meV per atom.